Compound: TiSiPbO5
Source: the Alexandria database
Functional: PBE
Structure: relaxed

CIF file:
```
data_TiSiPbO5
_chemical_formula_sum 'Ti4 Si4 Pb4 O20'
_cell_length_a 6.8600
_cell_length_b 9.0519
_cell_length_c 7.2676
_cell_angle_alpha 90.00
_cell_angle_beta 114.56
_cell_angle_gamma 90.00
_space_group_name_H-M_alt 'C 1 2/c 1'
_space_group_IT_number 15
_space_group_name_Hall '-C 2yc'
loop_
_atom_site_label
_atom_site_type_symbol
_atom_site_fract_x
_atom_site_fract_y
_atom_site_fract_z
Ti1 Ti 0.0000 0.0000 0.0000
Si1 Si 0.0000 0.3160 0.2500
Pb1 Pb 0.0000 0.3255 0.7500
O1 O 0.0000 0.0592 0.7500
O2 O 0.0874 0.2093 0.1128
O3 O 0.1941 0.4255 0.4000
```

formation energy from raw total energies = -2.48 eV per atom
uncorrected energy = -61.62 eV per formula unit
D(E_F) = 0.00 states/eV/cell

Compound: Tl2SiPbO4
Source: the Alexandria database
Functional: PBE
Structure: relaxed

CIF file:
```
data_Tl2SiPbO4
_chemical_formula_sum 'Tl4 Si2 Pb2 O8'
_cell_length_a 7.7273
_cell_length_b 8.1472
_cell_length_c 5.3028
_cell_angle_alpha 90.00
_cell_angle_beta 90.00
_cell_angle_gamma 90.00
_space_group_name_H-M_alt 'P m n 21'
_space_group_IT_number 31
_space_group_name_Hall 'P 2ac -2'
loop_
_atom_site_label
_atom_site_type_symbol
_atom_site_fract_x
_atom_site_fract_y
_atom_site_fract_z
Tl1 Tl 0.2230 0.1920 0.0000
Si1 Si 0.0000 0.4065 0.4839
Pb1 Pb 0.0000 0.6660 0.0056
O1 O 0.0000 0.4060 0.1653
O2 O 0.0000 0.6052 0.5701
O3 O 0.1776 0.3167 0.5821
```

formation energy from raw total energies = -1.59 eV per atom
uncorrected energy = -46.40 eV per formula unit
D(E_F) = 0.00 states/eV/cell

Compound: USi2PbO8
Source: the Alexandria database
Functional: PBE
Structure: relaxed

CIF file:
```
data_USi2PbO8
_chemical_formula_sum 'U3 Si6 Pb3 O24'
_cell_length_a 4.9375
_cell_length_b 4.9375
_cell_length_c 25.1385
_cell_angle_alpha 90.00
_cell_angle_beta 90.00
_cell_angle_gamma 120.00
_space_group_name_H-M_alt 'R 3 2'
_space_group_IT_number 155
_space_group_name_Hall 'R 3 2"'
loop_
_atom_site_label
_atom_site_type_symbol
_atom_site_fract_x
_atom_site_fract_y
_atom_site_fract_z
U1 U 0.0000 0.0000 0.0000
Si1 Si 0.0000 0.0000 0.2532
Pb1 Pb 0.0000 0.0000 0.5000
O1 O 0.0000 0.0000 0.1896
O2 O 0.0114 0.3756 0.3873
```

formation energy from raw total energies = -2.42 eV per atom
uncorrected energy = -94.57 eV per formula unit